# Fe3Tc | Alexandria | PBE | optimized geometry
# N(E_F) in states/eV/f.u.: 2.810
# Energy of formation from the pure elements in meV/atom: 65
data_Fe3Tc
_cell_length_a 2.521
_cell_length_b 4.122
_cell_length_c 4.858
_cell_angle_alpha 90.00
_cell_angle_beta 100.21
_cell_angle_gamma 90.00
_space_group_name_H-M_alt 'P 1 2/m 1'
_space_group_IT_number 10
loop_
_space_group_symop_operation_xyz
'x,y,z'
'-x,-y,-z'
'-x,y,-z'
'x,-y,z'
loop_
_atom_site_label
_atom_site_type_symbol
_atom_site_fract_x
_atom_site_fract_y
_atom_site_fract_z
_atom_site_occupancy
Fe1 Fe 0.000 0.000 0.000 1
Fe2 Fe 0.238 0.500 0.757 1
Tc1 Tc 0.500 0.000 0.500 1